Here is NaTaH2 after structural relaxation from Alexandria via LeMat-Bulk. Energies are from PBEsol.

For the size of the total moment, the calculation gives 0.00 Bohr magnetons per cell. For the final energy, the calculation gives -4.0889 eV per atom.

The space group is Fm-3m (No. 225) and the conventional cell measures 5.440, 5.440 and 5.440 Å, with angles of 90.00, 90.00 and 90.00 degrees. The asymmetric unit holds Na at (0.000, 0.000, 0.000), Ta at (0.000, 0.000, 0.500) and H at (0.250, 0.250, 0.250).